ScCu2HgF | PBE-GGA | relaxed

The space group is P4/mmm (No. 123) and the conventional cell measures 4.781, 4.781 and 5.378 Å, with angles of 90.00, 90.00 and 90.00 degrees. The inequivalent atoms are Sc at (0.000, 0.000, 0.000), Cu at (0.000, 0.500, 0.500), Hg at (0.000, 0.000, 0.500) and F at (0.500, 0.500, 0.000).

For the uncorrected formation energy, the calculation gives 0.2703 eV/atom.

***

GdMnV2 | PBE-GGA | relaxed

The space group is Fm-3m (No. 225) and the conventional cell measures 6.535, 6.535 and 6.535 Å, with angles of 90.00, 90.00 and 90.00 degrees. The inequivalent atoms are Gd at (0.000, 0.000, 0.000), Mn at (0.000, 0.000, 0.500) and V at (0.250, 0.250, 0.250).

As for the formation energy from the elements: 41.28 kJ/mol of atoms.

***

ZrTlAg2Cl8 | PBE-GGA | relaxed

The space group is P-1 (No. 2) and the conventional cell measures 6.396, 6.577 and 8.459 Å, with angles of 95.10, 94.90 and 92.98 degrees. The inequivalent atoms are Zr at (0.000, 0.000, 0.000), Tl at (0.000, 0.000, 0.500), Ag at (0.454, 0.456, 0.272), Cl at (0.191, 0.818, 0.790), Cl at (0.216, 0.845, 0.211), Cl at (0.264, 0.299, 0.013) and Cl at (0.304, 0.324, 0.525).

For the uncorrected formation energy, the calculation gives -1.0636 eV/atom.

***

What did the first record say?
ScCu2HgF | PBE-GGA | relaxed

The space group is P4/mmm (No. 123) and the conventional cell measures 4.781, 4.781 and 5.378 Å, with angles of 90.00, 90.00 and 90.00 degrees. The inequivalent atoms are Sc at (0.000, 0.000, 0.000), Cu at (0.000, 0.500, 0.500), Hg at (0.000, 0.000, 0.500) and F at (0.500, 0.500, 0.000).

For the uncorrected formation energy, the calculation gives 0.2703 eV/atom.